# Cs2MnBrF

Crystalline Cs2MnBrF at its relaxed geometry (PBEsol, the Alexandria database).

The calculation puts the uncorrected formation energy at -20.38 kcal/mol of atoms. The uncorrected energy comes out at -19.863 eV/cell. The magnetic moment is 0.722 μB per atom.

Lattice parameters (Å, degrees): 6.575 6.575 3.955 90.00 90.00 90.00
Atoms (fractional coordinates):
Cs (0.000, 0.500, 0.000)
Cs (0.500, 0.000, 0.000)
Mn (0.000, 0.000, 0.000)
Br (0.500, 0.500, 0.500)
F (0.000, 0.000, 0.500)

***

# CsBrOF2

Crystalline CsBrOF2 at its relaxed geometry (PBEsol, the Alexandria database).

The calculation puts the uncorrected formation energy at -2.13 kcal/mol of atoms. The uncorrected energy comes out at -12.379 eV/cell. The magnetic moment is 0.474 μB per atom.

Lattice parameters (Å, degrees): 4.969 4.969 4.428 90.00 90.00 90.00
Atoms (fractional coordinates):
Cs (0.000, 0.000, 0.000)
Br (0.500, 0.500, 0.500)
O (0.000, 0.000, 0.500)
F (0.000, 0.500, 0.000)
F (0.500, 0.000, 0.000)

***

# Cs2ReBrF

Crystalline Cs2ReBrF at its relaxed geometry (PBEsol, the Alexandria database).

The calculation puts the uncorrected formation energy at -3.92 kcal/mol of atoms. The uncorrected energy comes out at -19.865 eV/cell. The magnetic moment is 0.600 μB per atom.

Lattice parameters (Å, degrees): 6.659 6.659 4.061 90.00 90.00 90.00
Atoms (fractional coordinates):
Cs (0.000, 0.500, 0.000)
Cs (0.500, 0.000, 0.000)
Re (0.000, 0.000, 0.000)
Br (0.500, 0.500, 0.500)
F (0.000, 0.000, 0.500)

***

# Cs3FeBr

Crystalline Cs3FeBr at its relaxed geometry (PBEsol, the Alexandria database).

The calculation puts the uncorrected formation energy at 4.33 kcal/mol of atoms. The uncorrected energy comes out at -12.722 eV/cell. The magnetic moment is 0.412 μB per atom.

Lattice parameters (Å, degrees): 6.142 6.142 6.142 90.00 90.00 90.00
Atoms (fractional coordinates):
Cs (0.000, 0.000, 0.500)
Cs (0.000, 0.500, 0.000)
Cs (0.500, 0.000, 0.000)
Fe (0.000, 0.000, 0.000)
Br (0.500, 0.500, 0.500)

***

# CsFeSe2Br

Crystalline CsFeSe2Br at its relaxed geometry (PBEsol, the Alexandria database).

The calculation puts the uncorrected formation energy at 31.23 kcal/mol of atoms. The uncorrected energy comes out at -12.705 eV/cell. The magnetic moment is 0.765 μB per atom.

Lattice parameters (Å, degrees): 5.608 5.608 6.290 90.00 90.00 90.00
Atoms (fractional coordinates):
Cs (0.000, 0.000, 0.000)
Fe (0.500, 0.500, 0.500)
Se (0.000, 0.500, 0.000)
Se (0.500, 0.000, 0.000)
Br (0.000, 0.000, 0.500)

***

# CsGaBr3

Crystalline CsGaBr3 at its relaxed geometry (PBEsol, the Alexandria database).

The calculation puts the uncorrected formation energy at -26.52 kcal/mol of atoms. The uncorrected energy comes out at -15.643 eV/cell. The magnetic moment is 0.000 μB per atom.

Lattice parameters (Å, degrees): 5.371 5.371 5.371 90.00 90.00 90.00
Atoms (fractional coordinates):
Cs (0.000, 0.000, 0.000)
Ga (0.500, 0.500, 0.500)
Br (0.000, 0.500, 0.500)
Br (0.500, 0.000, 0.500)
Br (0.500, 0.500, 0.000)

***

# Cs2GaBr

Crystalline Cs2GaBr at its relaxed geometry (PBEsol, the Alexandria database).

The calculation puts the uncorrected formation energy at -10.50 kcal/mol of atoms. The uncorrected energy comes out at -35.662 eV/cell. The magnetic moment is 0.502 μB per atom.

Lattice parameters (Å, degrees): 8.750 8.750 8.750 90.00 90.00 90.00
Atoms (fractional coordinates):
Cs (0.250, 0.250, 0.250)
Cs (0.250, 0.250, 0.750)
Cs (0.250, 0.750, 0.250)
Cs (0.250, 0.750, 0.750)
Cs (0.750, 0.250, 0.250)
Cs (0.750, 0.250, 0.750)
Cs (0.750, 0.750, 0.250)
Cs (0.750, 0.750, 0.750)
Ga (0.000, 0.000, 0.000)
Ga (0.000, 0.500, 0.500)
Ga (0.500, 0.000, 0.500)
Ga (0.500, 0.500, 0.000)
Br (0.000, 0.000, 0.500)
Br (0.000, 0.500, 0.000)
Br (0.500, 0.000, 0.000)
Br (0.500, 0.500, 0.500)

***

# Cs2InGaBr6

Crystalline Cs2InGaBr6 at its relaxed geometry (PBEsol, the Alexandria database).

The calculation puts the uncorrected formation energy at -27.48 kcal/mol of atoms. The uncorrected energy comes out at -31.343 eV/cell. The magnetic moment is 0.000 μB per atom.

Lattice parameters (Å, degrees): 7.855 7.855 7.855 60.00 60.00 60.00
Atoms (fractional coordinates):
Cs (0.250, 0.250, 0.250)
Cs (0.750, 0.750, 0.750)
In (0.000, 0.000, 0.000)
Ga (0.500, 0.500, 0.500)
Br (0.243, 0.243, 0.757)
Br (0.243, 0.757, 0.243)
Br (0.243, 0.757, 0.757)
Br (0.757, 0.243, 0.243)
Br (0.757, 0.243, 0.757)
Br (0.757, 0.757, 0.243)

***

# Cs2KGaBr6

Crystalline Cs2KGaBr6 at its relaxed geometry (PBEsol, the Alexandria database).

The calculation puts the uncorrected formation energy at -31.67 kcal/mol of atoms. The uncorrected energy comes out at -31.310 eV/cell. The magnetic moment is 0.000 μB per atom.

Lattice parameters (Å, degrees): 7.917 7.917 7.917 60.00 60.00 60.00
Atoms (fractional coordinates):
Cs (0.250, 0.250, 0.250)
Cs (0.750, 0.750, 0.750)
K (0.000, 0.000, 0.000)
Ga (0.500, 0.500, 0.500)
Br (0.274, 0.274, 0.726)
Br (0.274, 0.726, 0.274)
Br (0.274, 0.726, 0.726)
Br (0.726, 0.274, 0.274)
Br (0.726, 0.274, 0.726)
Br (0.726, 0.726, 0.274)

***

# Cs2NaGaBr6

Crystalline Cs2NaGaBr6 at its relaxed geometry (PBEsol, the Alexandria database).

The calculation puts the uncorrected formation energy at -31.11 kcal/mol of atoms. The uncorrected energy comes out at -31.334 eV/cell. The magnetic moment is 0.000 μB per atom.

Lattice parameters (Å, degrees): 7.664 7.664 7.664 60.00 60.00 60.00
Atoms (fractional coordinates):
Cs (0.250, 0.250, 0.250)
Cs (0.750, 0.750, 0.750)
Na (0.000, 0.000, 0.000)
Ga (0.500, 0.500, 0.500)
Br (0.266, 0.266, 0.734)
Br (0.266, 0.734, 0.266)
Br (0.266, 0.734, 0.734)
Br (0.734, 0.266, 0.266)
Br (0.734, 0.266, 0.734)
Br (0.734, 0.734, 0.266)

***

# Cs2RbGaBr6

Crystalline Cs2RbGaBr6 at its relaxed geometry (PBEsol, the Alexandria database).

The calculation puts the uncorrected formation energy at -31.41 kcal/mol of atoms. The uncorrected energy comes out at -31.092 eV/cell. The magnetic moment is 0.000 μB per atom.

Lattice parameters (Å, degrees): 8.053 8.053 8.053 60.00 60.00 60.00
Atoms (fractional coordinates):
Cs (0.250, 0.250, 0.250)
Cs (0.750, 0.750, 0.750)
Rb (0.000, 0.000, 0.000)
Ga (0.500, 0.500, 0.500)
Br (0.278, 0.278, 0.722)
Br (0.278, 0.722, 0.278)
Br (0.278, 0.722, 0.722)
Br (0.722, 0.278, 0.278)
Br (0.722, 0.278, 0.722)
Br (0.722, 0.722, 0.278)

***

# CsGaSe2Br

Crystalline CsGaSe2Br at its relaxed geometry (PBEsol, the Alexandria database).

The calculation puts the uncorrected formation energy at -14.22 kcal/mol of atoms. The uncorrected energy comes out at -16.935 eV/cell. The magnetic moment is 0.000 μB per atom.

Lattice parameters (Å, degrees): 4.985 4.985 5.701 90.00 90.00 90.00
Atoms (fractional coordinates):
Cs (0.000, 0.000, 0.000)
Ga (0.500, 0.500, 0.500)
Se (0.000, 0.500, 0.500)
Se (0.500, 0.000, 0.500)
Br (0.500, 0.500, 0.000)

***

- Which of these has the lowest uncorrected formation energy?
  Cs2KGaBr6